The following is a DFT calculation (PBE-GGA) of a relaxed structure of Y5ErCd. Values from VASP.

## Properties
SG: No. 15
E: -75.02 eV/cell
Energy relative to the elements: 0.041 eV/atom
M_tot: 0.00 μB/f.u.

```
&SYSTEM
  ibrav = 0, nat = 14, ntyp = 3
/
ATOMIC_SPECIES
Y 88.91 Y.upf
Er 167.26 Er.upf
Cd 112.41 Cd.upf
CELL_PARAMETERS angstrom
4.359 -4.086 0.000
4.359 4.086 0.000
-2.193 0.000 12.194
ATOMIC_POSITIONS crystal
Y 0.033 0.967 0.750
Y 0.113 0.448 0.633
Y 0.208 0.478 0.921
Y 0.448 0.113 0.133
Y 0.478 0.208 0.421
Y 0.522 0.792 0.579
Y 0.552 0.887 0.867
Y 0.792 0.522 0.079
Y 0.887 0.552 0.367
Y 0.967 0.033 0.250
Er 0.356 0.644 0.250
Er 0.644 0.356 0.750
Cd 0.000 0.000 0.000
Cd 0.000 0.000 0.500
```

=====

The following is a DFT calculation (PBE-GGA) of a relaxed structure of Tm6Cd2Rh. Values from VASP.

## Properties
Distance to the lowest polymorph of the same formula: 201 meV/atom
SG: No. 71
E: -37.31 eV/cell
Energy relative to the elements: -0.144 eV/atom
M_tot: 0.00 μB/f.u.

```
&SYSTEM
  ibrav = 0, nat = 9, ntyp = 3
/
ATOMIC_SPECIES
Tm 168.93 Tm.upf
Cd 112.41 Cd.upf
Rh 102.91 Rh.upf
CELL_PARAMETERS angstrom
-2.517 3.524 7.320
2.517 -3.524 7.320
2.517 3.524 -7.320
ATOMIC_POSITIONS crystal
Tm 0.087 0.345 0.742
Tm 0.232 0.000 0.232
Tm 0.397 0.655 0.742
Tm 0.603 0.345 0.258
Tm 0.768 0.000 0.768
Tm 0.913 0.655 0.258
Cd 0.333 0.833 0.500
Cd 0.667 0.167 0.500
Rh 0.000 0.500 0.500
```

=====

The following is a DFT calculation (PBE-GGA) of a relaxed structure of Fe2Ni4Pd3. Values from VASP.

## Properties
SG: No. 12
E: -55.19 eV/cell
Energy relative to the elements: 0.048 eV/atom
M_tot: 9.15 μB/f.u.

```
&SYSTEM
  ibrav = 0, nat = 9, ntyp = 3
/
ATOMIC_SPECIES
Fe 55.84 Fe.upf
Ni 58.69 Ni.upf
Pd 106.42 Pd.upf
CELL_PARAMETERS angstrom
3.501 -2.178 0.000
3.501 2.178 0.000
-0.921 0.000 7.631
ATOMIC_POSITIONS crystal
Fe 0.164 0.164 0.285
Fe 0.836 0.836 0.715
Ni 0.169 0.169 0.605
Ni 0.497 0.497 0.832
Ni 0.503 0.503 0.168
Ni 0.831 0.831 0.395
Pd 0.166 0.166 0.934
Pd 0.500 0.500 0.500
Pd 0.834 0.834 0.066
```

=====

The following is a DFT calculation (PBE-GGA) of a relaxed structure of Tb5PuS8. Values from VASP.

## Properties
Uncorrected formation energy: -1.986 eV per atom
SG: No. 82
E: -98.31 eV/cell
M_tot: 6.68 μB/f.u.

```
&SYSTEM
  ibrav = 0, nat = 14, ntyp = 3
/
ATOMIC_SPECIES
Tb 158.93 Tb.upf
Pu 244.00 Pu.upf
S 32.06 S.upf
CELL_PARAMETERS angstrom
-4.187 4.187 4.150
4.187 -4.187 4.150
4.187 4.187 -4.150
ATOMIC_POSITIONS crystal
Tb 0.000 0.000 0.000
Tb 0.128 0.505 0.877
Tb 0.495 0.373 0.623
Tb 0.627 0.251 0.123
Tb 0.749 0.872 0.377
Pu 0.250 0.750 0.500
S 0.018 0.267 0.394
S 0.228 0.128 0.752
S 0.376 0.476 0.248
S 0.376 0.982 0.249
S 0.524 0.772 0.900
S 0.733 0.127 0.751
S 0.872 0.624 0.100
S 0.873 0.624 0.606
```

=====

The following is a DFT calculation (PBE-GGA) of a relaxed structure of TbDy2Ho6Er3. Values from VASP.

## Properties
SG: No. 12
E: -54.76 eV/cell
Energy relative to the elements: 0.019 eV/atom
M_tot: 0.00 μB/f.u.

```
&SYSTEM
  ibrav = 0, nat = 12, ntyp = 4
/
ATOMIC_SPECIES
Tb 158.93 Tb.upf
Dy 162.50 Dy.upf
Ho 164.93 Ho.upf
Er 167.26 Er.upf
CELL_PARAMETERS angstrom
3.047 -5.272 0.000
3.047 5.272 0.000
-2.020 0.000 11.477
ATOMIC_POSITIONS crystal
Tb 0.000 0.000 0.000
Dy 0.333 0.667 0.000
Dy 0.667 0.333 0.000
Ho 0.084 0.417 0.251
Ho 0.249 0.249 0.749
Ho 0.417 0.084 0.251
Ho 0.583 0.916 0.749
Ho 0.751 0.751 0.251
Ho 0.916 0.583 0.749
Er 0.167 0.833 0.500
Er 0.500 0.500 0.500
Er 0.833 0.167 0.500
```

=====

The following is a DFT calculation (PBE-GGA) of a relaxed structure of Sm3DyIn4. Values from VASP.

## Properties
Distance to the lowest polymorph of the same formula: 0 meV/atom
SG: No. 123
E: -33.61 eV/cell
Energy relative to the elements: -0.487 eV/atom
M_tot: 0.00 μB/f.u.

```
&SYSTEM
  ibrav = 0, nat = 8, ntyp = 3
/
ATOMIC_SPECIES
Sm 150.36 Sm.upf
Dy 162.50 Dy.upf
In 114.82 In.upf
CELL_PARAMETERS angstrom
3.811 0.000 0.000
0.000 3.811 0.000
0.000 0.000 15.285
ATOMIC_POSITIONS crystal
Sm 0.000 0.000 0.000
Sm 0.000 0.000 0.253
Sm 0.000 0.000 0.747
Dy 0.000 0.000 0.500
In 0.500 0.500 0.127
In 0.500 0.500 0.381
In 0.500 0.500 0.619
In 0.500 0.500 0.873
```

=====

The following is a DFT calculation (PBE-GGA) of a relaxed structure of ZnHgBiOs2. Values from VASP.

## Properties
SG: No. 123
E: -15.55 eV/cell
Energy relative to the elements: 2.473 eV/atom
M_tot: 2.41 μB/f.u.

```
&SYSTEM
  ibrav = 0, nat = 5, ntyp = 4
/
ATOMIC_SPECIES
Zn 65.41 Zn.upf
Hg 200.59 Hg.upf
Bi 208.98 Bi.upf
Os 190.23 Os.upf
CELL_PARAMETERS angstrom
5.033 0.000 0.000
0.000 5.033 0.000
0.000 0.000 5.455
ATOMIC_POSITIONS crystal
Zn 0.000 0.000 0.000
Hg 0.500 0.500 0.500
Bi 0.500 0.500 0.000
Os 0.000 0.500 0.500
Os 0.500 0.000 0.500
```

=====

The following is a DFT calculation (PBE-GGA) of a relaxed structure of MgUInO6. Values from VASP.

## Properties
Uncorrected formation energy: -2.296 eV per atom
SG: No. 102
E: -132.07 eV/cell
M_tot: 0.04 μB/f.u.

```
&SYSTEM
  ibrav = 0, nat = 18, ntyp = 4
/
ATOMIC_SPECIES
Mg 24.30 Mg.upf
U 238.03 U.upf
In 114.82 In.upf
O 16.00 O.upf
CELL_PARAMETERS angstrom
4.937 0.000 0.000
0.000 4.937 0.000
0.000 0.000 9.786
ATOMIC_POSITIONS crystal
Mg 0.000 0.000 0.000
Mg 0.500 0.500 0.500
U 0.000 0.000 0.333
U 0.500 0.500 0.833
In 0.000 0.000 0.668
In 0.500 0.500 0.168
O 0.190 0.190 0.171
O 0.198 0.198 0.492
O 0.201 0.201 0.838
O 0.299 0.701 0.338
O 0.302 0.698 0.992
O 0.310 0.690 0.671
O 0.690 0.310 0.671
O 0.698 0.302 0.992
O 0.701 0.299 0.338
O 0.799 0.799 0.838
O 0.802 0.802 0.492
O 0.810 0.810 0.171
```